Computed, not measured: an optimized crystal structure of SrMgHg2 at the PBE-GGA level of DFT.

Summary:
- SG = No. 160
- density (g/cm³) = 7.01
- energy relative to the elements (kcal/mol of atoms) = -6.23
- Fermi-level density of states (states/eV/cell) = 2.53

Cell lengths 4.218, 4.218, 8.257 Å; angles 75.20, 75.20, 60.00 degrees
Atoms (fractional coordinates):
1 Hg 0.096 0.096 0.711
2 Mg 0.498 0.498 0.506
3 Hg 0.238 0.238 0.286
4 Sr 0.668 0.668 0.996